# SrLaMo2, optimized geometry, DFT PBE
data_SrLaMo2
_space_group_name_H-M_alt 'P 1'
_space_group_IT_number 1
_cell_length_a 6.437
_cell_length_b 6.437
_cell_length_c 6.437
_cell_angle_alpha 147.47
_cell_angle_beta 130.98
_cell_angle_gamma 60.08
loop_
_space_group_symop_operation_xyz
'x,y,z'
loop_
_atom_site_label
_atom_site_type_symbol
_atom_site_fract_x
_atom_site_fract_y
_atom_site_fract_z
Sr1 Sr 0.000 0.000 0.000
La1 La 0.721 0.221 0.500
Mo1 Mo 0.279 0.779 0.500
Mo2 Mo 0.425 0.425 0.000
# Spin magnetization (μB/f.u.): 0.00
# Formation energy from the elements (eV per atom): 0.54
# DFT total energy (eV per atom): -6.527
# Energy above the lowest structure with this stoichiometry (eV per atom): 0.120